The following is a DFT calculation (GGA-PBE) of a relaxed structure of Nd2B7Ir12.

Values from the calculation:
The volume comes out at 278.3 Å³ per cell. Its uncorrected energy is -170.2 eV for the cell shown. The value obtained for the energy of formation is -0.360 eV/atom.

```
21
Lattice="9.002 0.000 0.000 -4.501 7.796 0.000 0.000 0.000 3.966" Properties=species:S:1:pos:R:3 pbc="T T T"
Nd 0.000 0.000 0.000
Nd 0.000 5.197 1.983
B -1.081 3.441 0.000
B 1.432 1.734 1.983
B -0.980 7.011 0.000
B 2.061 5.139 0.000
B 4.501 2.599 0.000
B 6.784 0.373 1.983
B 5.286 5.689 1.983
Ir -0.711 2.210 1.983
Ir -2.298 5.346 0.000
Ir -2.231 7.306 1.983
Ir 1.020 3.132 0.000
Ir 2.909 1.257 0.000
Ir 2.956 3.200 1.983
Ir 4.752 0.960 1.983
Ir 1.278 7.113 0.000
Ir 2.942 6.075 1.983
Ir 4.135 4.648 0.000
Ir 6.458 1.890 0.000
Ir 5.794 3.636 1.983
```